Compound: Lu4NiPt3
Source: the Open Quantum Materials Database
Functional: PBE-GGA
Structure: optimized geometry

theoretical density	13.5	g/cm3
space group	Pm
ΔH_f (0 K)	-9.12	eV/f.u.

POSCAR file:
```
Lu4NiPt3
1.0
5.489 0.000 0.000
0.000 4.353 0.000
-0.094 0.000 6.893
Lu Pt Ni
4 3 1
Direct
0.367 0.000 0.323
0.636 0.500 0.678
0.136 0.000 0.819
0.863 0.500 0.181
0.658 0.000 0.954
0.136 0.500 0.538
0.344 0.500 0.047
0.860 0.000 0.460
```